No. 1
The following is a GGA-PBE calculation of a geometry-optimized AlMoAs2 structure, from Alexandria via LeMat-Bulk.

abc: 4.4176 4.4176 4.4176
angles: 113.28 113.28 102.10
Closest atoms and distances in Å follow each position.
Sites, in units of the cell vectors:
Al 0.0000 0.0000 0.0000  2 Mo 2.78, 8 As 2.80
Mo 0.5000 0.5000 0.0000  2 Al 2.78, 8 As 2.80
As 0.2500 0.7500 0.5000  2 As 2.78, 4 Mo 2.80, 4 Al 2.80
As 0.7500 0.2500 0.5000  2 As 2.78, 4 Mo 2.80, 4 Al 2.80

Calculated values
As for the formation energy: 0.54 eV per formula unit. Its density of states at the Fermi level is 3.75 states/eV/f.u. For the total energy, the calculation gives -0.4288 Ry/atom. The space-group type is I4/mmm.


No. 2
The following is a GGA-PBE calculation of a geometry-optimized SbIrF2 structure, from Alexandria via LeMat-Bulk.

abc: 9.1320 9.1320 9.1320
angles: 18.54 18.54 18.54
Closest atoms and distances in Å follow each position.
Sites, in units of the cell vectors:
Sb 0.0000 0.0000 0.0000  2 F 2.06
Ir 0.5000 0.5000 0.5000  6 Ir 2.94, 6 F 2.96
F 0.0765 0.0765 0.0765  1 Sb 2.06
F 0.9235 0.9235 0.9235  1 Sb 2.06

Calculated values
Its density of states at the Fermi level is 2.29 states/eV/f.u. For the total energy, the calculation gives -0.3335 Ry/atom. The value obtained for the uncorrected formation energy is -0.356 eV/atom. The space-group type is R-3m. The calculation puts the energy above the most stable polymorph in this dataset at 0.3169 eV/atom.


No. 3
The following is a GGA-PBE calculation of a geometry-optimized SbHCl2 structure, from Alexandria via LeMat-Bulk.

abc: 8.1145 8.1145 8.1145
angles: 24.92 24.92 24.92
Closest atoms and distances in Å follow each position.
Sites, in units of the cell vectors:
Sb 0.0000 0.0000 0.0000  6 Cl 3.11
H 0.5000 0.5000 0.5000  2 Cl 1.56
Cl 0.4338 0.4338 0.4338  1 H 1.56
Cl 0.5662 0.5662 0.5662  1 H 1.56

Calculated values
Its density of states at the Fermi level is 1.09 states/eV/f.u. For the total energy, the calculation gives -0.2191 Ry/atom. The space-group type is R-3m. The calculation puts the energy above the most stable polymorph in this dataset at 0.0000 eV/atom.


No. 4
The following is a GGA-PBE calculation of a geometry-optimized Pm2MnAl12Ni3 structure, from Alexandria via LeMat-Bulk.

abc: 10.1629 10.1629 10.1629
angles: 36.24 36.24 36.24
Closest atoms and distances in Å follow each position.
Sites, in units of the cell vectors:
Pm 0.1414 0.1414 0.1414  12 Al 3.19-3.36
Pm 0.8586 0.8586 0.8586  12 Al 3.19-3.36
Mn 0.5000 0.5000 0.5000  6 Al 2.48
Al 0.0973 0.0973 0.6757  2 Ni 2.33
Al 0.0973 0.6757 0.0973  2 Ni 2.33
Al 0.1338 0.5854 0.5854  1 Mn 2.48, 2 Al 2.64
Al 0.3243 0.9027 0.9027  2 Ni 2.33
Al 0.4146 0.4146 0.8662  1 Mn 2.48, 2 Al 2.64
Al 0.4146 0.8662 0.4146  1 Mn 2.48, 2 Al 2.64
Al 0.5854 0.1338 0.5854  1 Mn 2.48, 2 Al 2.64
Al 0.5854 0.5854 0.1338  1 Mn 2.48, 2 Al 2.64
Al 0.6757 0.0973 0.0973  2 Ni 2.33
Al 0.8662 0.4146 0.4146  1 Mn 2.48, 2 Al 2.64
Al 0.9027 0.3243 0.9027  2 Ni 2.33
Al 0.9027 0.9027 0.3243  2 Ni 2.33
Ni 0.0000 0.5000 0.5000  4 Al 2.33
Ni 0.5000 0.0000 0.5000  4 Al 2.33
Ni 0.5000 0.5000 0.0000  4 Al 2.33

Calculated values
As for the formation energy: -2.42 eV per formula unit. Its density of states at the Fermi level is 8.29 states/eV/f.u. For the total energy, the calculation gives -0.3403 Ry/atom. The space-group type is R-3m.


No. 5
The following is a GGA-PBE calculation of a geometry-optimized VInCu2Cl structure, from Alexandria via LeMat-Bulk.

abc: 4.5393 4.5393 4.4990
angles: 90.00 90.00 90.00
Closest atoms and distances in Å follow each position.
Sites, in units of the cell vectors:
V 0.0000 0.0000 0.0000  2 Cl 2.25
In 0.5000 0.5000 0.0000  8 Cu 3.20, 4 V 3.21
Cu 0.0000 0.5000 0.5000  2 Cl 2.27
Cu 0.5000 0.0000 0.5000  2 Cl 2.27
Cl 0.0000 0.0000 0.5000  2 V 2.25, 4 Cu 2.27

Calculated values
Its density of states at the Fermi level is 4.89 states/eV/f.u. For the total energy, the calculation gives -0.2754 Ry/atom. The value obtained for the uncorrected formation energy is 0.633 eV/atom. The space-group type is P4/mmm.


No. 6
The following is a GGA-PBE calculation of a geometry-optimized AsRhCl2 structure, from Alexandria via LeMat-Bulk.

abc: 4.3275 4.3275 4.0276
angles: 90.00 90.00 97.13
Closest atoms and distances in Å follow each position.
Sites, in units of the cell vectors:
As 0.0000 0.0000 0.0000  4 Cl 2.70, 2 Rh 2.86
Rh 0.5000 0.5000 0.0000  4 Cl 2.48
Cl 0.2760 0.7240 0.5000  2 Rh 2.48, 2 As 2.70
Cl 0.7240 0.2760 0.5000  2 Rh 2.48, 2 As 2.70

Calculated values
Its density of states at the Fermi level is 3.09 states/eV/f.u. For the total energy, the calculation gives -0.2742 Ry/atom. The value obtained for the uncorrected formation energy is 0.193 eV/atom. The space-group type is Cmmm. The calculation puts the energy above the most stable polymorph in this dataset at 0.7922 eV/atom.


No. 7
The following is a GGA-PBE calculation of a geometry-optimized KSr2InH8 structure, from Alexandria via LeMat-Bulk.

abc: 4.2695 7.9560 5.4006
angles: 90.00 101.60 90.00
Closest atoms and distances in Å follow each position.
Sites, in units of the cell vectors:
K 0.0000 0.0000 0.0000  8 H 2.59-2.83
Sr 0.5000 0.2570 0.5000  8 H 2.40-2.62
Sr 0.5000 0.7430 0.5000  8 H 2.40-2.62
In 0.0000 0.5000 0.0000  6 H 1.89-2.03
H 0.0746 0.3118 0.7656  1 In 2.03
H 0.0746 0.6882 0.7656  1 In 2.03
H 0.4117 0.5000 0.2106  1 In 1.89
H 0.4141 0.0000 0.7102  2 Sr 2.40, 1 H 2.52, 2 K 2.59-2.67
H 0.5859 0.0000 0.2898  2 Sr 2.40, 1 H 2.52, 2 K 2.59-2.67
H 0.5883 0.5000 0.7894  1 In 1.89
H 0.9254 0.3118 0.2344  1 In 2.03
H 0.9254 0.6882 0.2344  1 In 2.03

Calculated values
Its density of states at the Fermi level is 0.00 states/eV/f.u. For the total energy, the calculation gives -0.2210 Ry/atom. The space-group type is P2/m.


No. 8
The following is a GGA-PBE calculation of a geometry-optimized CdPt6Rh3 structure, from Alexandria via LeMat-Bulk.

abc: 5.6257 3.9182 14.1115
angles: 90.00 90.20 90.00
Closest atoms and distances in Å follow each position.
Sites, in units of the cell vectors:
Cd 0.1297 0.2500 0.0532  8 Pt 2.76-2.95, 2 Rh 2.83, 2 Cd 2.86
Cd 0.8703 0.7500 0.9468  8 Pt 2.76-2.95, 2 Rh 2.83, 2 Cd 2.86
Pt 0.1246 0.2500 0.2533  6 Pt 2.77-2.80, 5 Rh 2.78-2.83, 1 Cd 2.82
Pt 0.1256 0.2500 0.6467  5 Rh 2.74-2.80, 7 Pt 2.78-2.82
Pt 0.1323 0.2500 0.8443  4 Rh 2.74-2.88, 5 Pt 2.79, 3 Cd 2.85-2.95
Pt 0.3733 0.7500 0.3513  5 Rh 2.73-2.81, 7 Pt 2.77-2.82
Pt 0.3739 0.7500 0.5487  5 Rh 2.77-2.83, 7 Pt 2.78-2.80
Pt 0.3801 0.7500 0.9453  4 Cd 2.76-2.87, 4 Rh 2.79-3.00, 4 Pt 2.79-2.83
Pt 0.6199 0.2500 0.0547  4 Cd 2.76-2.87, 4 Rh 2.79-3.00, 4 Pt 2.79-2.83
Pt 0.6261 0.2500 0.4513  5 Rh 2.77-2.83, 7 Pt 2.78-2.80
Pt 0.6267 0.2500 0.6487  5 Rh 2.73-2.81, 7 Pt 2.77-2.82
Pt 0.8677 0.7500 0.1557  4 Rh 2.74-2.88, 5 Pt 2.79, 3 Cd 2.85-2.95
Pt 0.8744 0.7500 0.3533  5 Rh 2.74-2.80, 7 Pt 2.78-2.82
Pt 0.8754 0.7500 0.7467  6 Pt 2.77-2.80, 5 Rh 2.78-2.83, 1 Cd 2.82
Rh 0.1230 0.2500 0.4524  10 Pt 2.74-2.83, 2 Rh 2.75
Rh 0.3784 0.7500 0.7464  2 Rh 2.74, 10 Pt 2.77-2.83
Rh 0.3803 0.7500 0.1581  8 Pt 2.73-3.00, 2 Rh 2.74, 2 Cd 2.83
Rh 0.6197 0.2500 0.8419  8 Pt 2.73-3.00, 2 Rh 2.74, 2 Cd 2.83
Rh 0.6216 0.2500 0.2536  2 Rh 2.74, 10 Pt 2.77-2.83
Rh 0.8770 0.7500 0.5476  10 Pt 2.74-2.83, 2 Rh 2.75

Calculated values
As for the formation energy: -0.51 eV per formula unit. Its density of states at the Fermi level is 17.08 states/eV/f.u. For the total energy, the calculation gives -0.4389 Ry/atom. The space-group type is P2_1/m.


No. 9
The following is a GGA-PBE calculation of a geometry-optimized Th2PdRh structure, from Alexandria via LeMat-Bulk.

abc: 7.4054 7.4054 7.4054
angles: 32.34 32.34 32.34
Closest atoms and distances in Å follow each position.
Sites, in units of the cell vectors:
Th 0.0000 0.0000 0.0000  3 Rh 2.88, 3 Pd 3.02
Th 0.1795 0.1795 0.1795  3 Rh 2.88, 3 Pd 3.06
Pd 0.7548 0.7548 0.7548  6 Th 3.02-3.06
Rh 0.5901 0.5901 0.5901  6 Th 2.88

Calculated values
As for the formation energy: -3.05 eV per formula unit. Its density of states at the Fermi level is 2.16 states/eV/f.u. For the total energy, the calculation gives -0.5592 Ry/atom. The space-group type is R3m.


No. 10
The following is a GGA-PBE calculation of a geometry-optimized NaScIn4 structure, from Alexandria via LeMat-Bulk.

abc: 3.3086 4.9474 9.0214
angles: 90.00 90.12 90.00
Closest atoms and distances in Å follow each position.
Sites, in units of the cell vectors:
Na 0.0000 0.0000 0.0000  2 Na 3.31, 12 In 3.34-3.52
Sc 0.0000 0.5000 0.5000  12 In 3.28-3.42, 2 Sc 3.31
In 0.4865 0.0000 0.3408  3 In 2.87-2.92
In 0.4925 0.5000 0.8300  3 In 2.92-3.07
In 0.5075 0.5000 0.1700  3 In 2.92-3.07
In 0.5135 0.0000 0.6592  3 In 2.87-2.92

Calculated values
As for the formation energy: -1.07 eV per formula unit. Its density of states at the Fermi level is 3.12 states/eV/f.u. For the total energy, the calculation gives -0.2410 Ry/atom. The space-group type is P2/m. The calculation puts the energy above the most stable polymorph in this dataset at 0.0000 eV/atom.


- Which formula does entry 9 have?
  Th2PdRh